The following is a PBE calculation of crystalline SmHo5Er7 at its relaxed geometry, from Alexandria via LeMat-Bulk.

Structure (CIF):
```
data_SmHo5Er7
_chemical_formula_sum 'Sm2 Ho10 Er14'
_symmetry_space_group_name_H-M 'I m m 2'
_symmetry_Int_Tables_number 44
_cell_length_a 6.6483
_cell_length_b 11.0149
_cell_length_c 11.4572
_cell_angle_alpha 90.00
_cell_angle_beta 90.00
_cell_angle_gamma 90.00
loop_
_symmetry_equiv_pos_as_xyz
'x,y,z'
'-x,-y,z'
'-x,y,z'
'x,-y,z'
'x+1/2,y+1/2,z+1/2'
'-x+1/2,-y+1/2,z+1/2'
'-x+1/2,y+1/2,z+1/2'
'x+1/2,-y+1/2,z+1/2'
loop_
_atom_site_label
_atom_site_type_symbol
_atom_site_fract_x
_atom_site_fract_y
_atom_site_fract_z
_atom_site_occupancy
Sm1 Sm 0.0000 0.0000 0.0000 1
Ho1 Ho 0.0000 0.5000 0.3011 1
Ho2 Ho 0.2329 0.2280 0.8012 1
Er1 Er 0.0000 0.0000 0.3044 1
Er2 Er 0.0000 0.0000 0.6102 1
Er3 Er 0.0000 0.3301 0.0520 1
Er4 Er 0.0000 0.3297 0.5521 1
Er5 Er 0.0000 0.5000 0.8029 1
```

Output
E (eV per atom): -4.32
Formation energy (kcal/mol of atoms): 5.95

The following is a PBE calculation of crystalline Sm12Ho3Er at its relaxed geometry, from Alexandria via LeMat-Bulk.

Structure (CIF):
```
data_Sm12Ho3Er
_chemical_formula_sum 'Sm12 Ho3 Er1'
_symmetry_space_group_name_H-M 'P 4/m m m'
_symmetry_Int_Tables_number 123
_symmetry_space_group_name_Hall '-P 4 2'
_cell_length_a 5.0928
_cell_length_b 5.0928
_cell_length_c 20.3334
_cell_angle_alpha 90.00
_cell_angle_beta 90.00
_cell_angle_gamma 90.00
loop_
_atom_site_label
_atom_site_type_symbol
_atom_site_fract_x
_atom_site_fract_y
_atom_site_fract_z
_atom_site_occupancy
Sm1 Sm 0.0000 0.0000 0.0000 1
Sm2 Sm 0.0000 0.0000 0.2503 1
Sm3 Sm 0.0000 0.0000 0.5000 1
Sm4 Sm 0.0000 0.5000 0.1252 1
Sm5 Sm 0.0000 0.5000 0.3753 1
Ho1 Ho 0.5000 0.5000 0.0000 1
Ho2 Ho 0.5000 0.5000 0.2503 1
Er1 Er 0.5000 0.5000 0.5000 1
```

Output
E (eV per atom): -4.67
Formation energy (kcal/mol of atoms): 0.38